[1]
First-principles (GGA-PBE) data for Na2LiH6Au after structural relaxation, as listed in OQMD.

Properties
* calculated volume: 9.91 Å³/atom
* total energy: -113.62 eV/cell
* ρ: 4.29 Mg/m³

Lattice parameters (Å, degrees): 7.347 7.347 7.347 90.00 90.00 90.00
Space group Fm-3m (No. 225)
Symmetry-distinct sites (fractional):
Na 0.250 0.250 0.250 x8
Li 0.000 0.000 0.000 x4
H 0.000 0.000 0.255 x24
Au 0.000 0.000 0.500 x4

***

[2]
First-principles (GGA-PBE) data for Li2NiH6Au after structural relaxation, as listed in OQMD.

Properties
* calculated volume: 8.08 Å³/atom
* total energy: -137.33 eV/cell
* ρ: 5.66 Mg/m³

Lattice parameters (Å, degrees): 6.863 6.863 6.863 90.00 90.00 90.00
Space group Fm-3m (No. 225)
Symmetry-distinct sites (fractional):
Li 0.250 0.250 0.250 x8
Ni 0.000 0.000 0.000 x4
H 0.000 0.000 0.231 x24
Au 0.000 0.000 0.500 x4

***

[3]
First-principles (GGA-PBE) data for Li3P4HAu2O14 after structural relaxation, as listed in OQMD.

Properties
* calculated volume: 11.41 Å³/atom
* total energy: -148.07 eV/cell
* ρ: 4.63 Mg/m³

Lattice parameters (Å, degrees): 4.951 5.063 12.412 91.20 98.80 116.44
Space group P-1 (No. 2)
Symmetry-distinct sites (fractional):
Li 0.000 0.000 0.000 x1
Li 0.384 0.224 0.533 x2
P 0.096 0.599 0.637 x2
P 0.304 0.613 0.874 x2
H 0.500 0.000 0.000 x1
Au 0.192 0.978 0.261 x2
O 0.100 0.294 0.629 x2
O 0.124 0.681 0.768 x2
O 0.169 0.277 0.879 x2
O 0.203 0.410 0.417 x2
O 0.264 0.779 0.970 x2
O 0.356 0.257 0.136 x2
O 0.386 0.850 0.604 x2

***

[4]
First-principles (GGA-PBE) data for Li2H6PdAu after structural relaxation, as listed in OQMD.

Properties
* calculated volume: 9.01 Å³/atom
* total energy: -136.55 eV/cell
* ρ: 5.96 Mg/m³

Lattice parameters (Å, degrees): 7.118 7.118 7.118 90.00 90.00 90.00
Space group Fm-3m (No. 225)
Symmetry-distinct sites (fractional):
Li 0.250 0.250 0.250 x8
H 0.000 0.000 0.243 x24
Pd 0.000 0.000 0.000 x4
Au 0.000 0.000 0.500 x4